[1]
Density functional theory data (PBE-GGA) for a geometry-optimized MoPbWI2 structure.

Values from the calculation:
M_tot: 6.427 μB/cell
symmetry: No. 123
uncorrected formation energy: 1.74 eV per atom
DOS(E_F): 7.2 states/eV/cell

Cell lengths 5.4206, 5.4206, 5.6694 Å; angles 90.00, 90.00, 90.00 degrees
With the nearest neighbours (Å) after each atom.
Sites, in units of the cell vectors:
I1 0.0000 0.5000 0.0000  2 Mo 2.71
I2 0.5000 0.0000 0.0000  2 Mo 2.71
W1 0.5000 0.5000 0.5000  4 Pb 3.83, 8 I 3.92
Mo1 0.0000 0.0000 0.0000  4 I 2.71, 2 Pb 2.83
Pb1 0.0000 0.0000 0.5000  2 Mo 2.83

[2]
Density functional theory data (PBE-GGA) for a geometry-optimized YCrOs2 structure.

Values from the calculation:
M_tot: 1.145 μB/cell
symmetry: No. 10
excess energy over the best structure of this formula in the dataset: 0.1716 eV per atom
DOS(E_F): 3.9 states/eV/cell

Cell lengths 4.0944, 2.9274, 5.8456 Å; angles 75.31, 90.00, 90.00 degrees
With the nearest neighbours (Å) after each atom.
Sites, in units of the cell vectors:
Cr1 0.5000 0.7500 0.7500  4 Os 2.48
Os1 0.0000 0.9302 0.9508  2 Cr 2.48, 1 Os 2.61
Os2 0.0000 0.5698 0.5492  2 Cr 2.48, 1 Os 2.61
Y1 0.5000 0.2500 0.2500  2 Cr 2.92, 2 Y 2.93, 8 Os 2.99-3.07

[3]
Density functional theory data (PBE-GGA) for a geometry-optimized ZrTi2In2 structure.

Values from the calculation:
M_tot: 0.473 μB/cell
symmetry: No. 11
excess energy over the best structure of this formula in the dataset: 0.1452 eV per atom
DOS(E_F): 10.9 states/eV/cell

Cell lengths 4.1836, 5.8629, 9.4986 Å; angles 71.50, 90.00, 90.00 degrees
With the nearest neighbours (Å) after each atom.
Sites, in units of the cell vectors:
Zr1 0.2500 0.6622 0.2296  5 Ti 3.01-3.16, 6 In 3.02-3.13
Ti1 0.2500 0.7247 0.6745  4 In 2.79-3.11, 2 Zr 3.01, 1 Ti 3.08
In1 0.7500 0.0452 0.1096  4 Ti 2.79-2.97, 2 Zr 3.02, 2 In 3.11
In2 0.2500 0.2827 0.5404  4 Ti 2.93-3.23, 3 Zr 3.08-3.11, 3 In 3.20-3.27
In3 0.7500 0.7173 0.4596  4 Ti 2.93-3.23, 3 Zr 3.08-3.11, 3 In 3.20-3.27
Zr2 0.7500 0.3378 0.7704  5 Ti 3.01-3.16, 6 In 3.02-3.13
Ti2 0.7500 0.6185 0.0042  2 Ti 2.53
In4 0.2500 0.9548 0.8904  4 Ti 2.79-2.97, 2 Zr 3.02, 2 In 3.11
Ti3 0.7500 0.2753 0.3255  4 In 2.79-3.11, 2 Zr 3.01, 1 Ti 3.08
Ti4 0.2500 0.3815 0.9958  2 Ti 2.53

[4]
Density functional theory data (PBE-GGA) for a geometry-optimized TaCo2Ru2 structure.

Values from the calculation:
M_tot: 4.559 μB/cell
symmetry: No. 127
excess energy over the best structure of this formula in the dataset: 0.0950 eV per atom
DOS(E_F): 11.3 states/eV/cell

Cell lengths 7.0776, 7.0776, 2.7368 Å; angles 90.00, 90.00, 90.00 degrees
With the nearest neighbours (Å) after each atom.
Sites, in units of the cell vectors:
Ru1 0.3724 0.8724 0.0000  6 Co 2.45-2.53, 3 Ru 2.55-2.74
Ta1 0.5000 0.5000 0.0000  2 Ta 2.74, 4 Ru 2.79, 8 Co 2.96
Ru2 0.1276 0.3724 0.0000  6 Co 2.45-2.53, 3 Ru 2.55-2.74
Co1 0.6697 0.8303 0.5000  6 Ru 2.45-2.53, 2 Co 2.74
Co2 0.1697 0.6697 0.5000  6 Ru 2.45-2.53, 2 Co 2.74
Ru3 0.6276 0.1276 0.0000  6 Co 2.45-2.53, 3 Ru 2.55-2.74
Ru4 0.8724 0.6276 0.0000  6 Co 2.45-2.53, 3 Ru 2.55-2.74
Co3 0.8303 0.3303 0.5000  6 Ru 2.45-2.53, 2 Co 2.74
Ta2 0.0000 0.0000 0.0000  2 Ta 2.74, 4 Ru 2.79, 8 Co 2.96
Co4 0.3303 0.1697 0.5000  6 Ru 2.45-2.53, 2 Co 2.74

[5]
Density functional theory data (PBE-GGA) for a geometry-optimized Sc4Hg structure.

Values from the calculation:
M_tot: 2.118 μB/cell
symmetry: No. 229
excess energy over the best structure of this formula in the dataset: 0.5203 eV per atom
DOS(E_F): 10.9 states/eV/cell

Cell lengths 5.6796, 5.6796, 5.6796 Å; angles 109.47, 109.47, 109.47 degrees
With the nearest neighbours (Å) after each atom.
Sites, in units of the cell vectors:
Sc1 0.0000 0.0000 0.5000  2 Hg 2.84
Sc2 0.5000 0.0000 0.0000  2 Hg 2.84
Sc3 0.0000 0.5000 0.0000  2 Hg 2.84
Sc4 0.5000 0.5000 0.5000  2 Hg 2.84
Hg1 0.0000 0.0000 0.0000  8 Sc 2.84

[6]
Density functional theory data (PBE-GGA) for a geometry-optimized CoSbAu2 structure.

Values from the calculation:
M_tot: 0.857 μB/cell
symmetry: No. 99
uncorrected formation energy: 0.18 eV per atom
DOS(E_F): 3.3 states/eV/cell

Cell lengths 3.1777, 3.1777, 7.1099 Å; angles 90.00, 90.00, 90.00 degrees
With the nearest neighbours (Å) after each atom.
Sites, in units of the cell vectors:
Co1 0.0000 0.0000 0.5023  4 Sb 2.65, 4 Au 2.77
Au1 0.5000 0.5000 0.2752  4 Co 2.77, 4 Au 2.88, 1 Sb 3.02
Au2 0.0000 0.0000 0.0222  8 Au 2.88-3.18, 4 Sb 3.21
Sb1 0.5000 0.5000 0.7003  4 Co 2.65